(1)
This record from Alexandria via LeMat-Bulk describes a relaxed structure of Hf2TaNi. The functional is GGA-PBE.

Calculated values
The formation energy from the elements comes out at -0.183 eV/atom. The energy above the most stable polymorph in this dataset is 0.0 meV per atom.

Unit cell a=3.144 b=3.144 c=7.346 alpha=90.00 beta=90.00 gamma=90.00
Space group P4/mmm (No. 123)
Asymmetric unit:
Hf: 0.000 0.000 0.226 (multiplicity 2)
Ta: 0.500 0.500 0.500 (multiplicity 1)
Ni: 0.500 0.500 0.000 (multiplicity 1)


(2)
This record from Alexandria via LeMat-Bulk describes a relaxed structure of Hf3TaNi12. The functional is GGA-PBE.

Calculated values
The formation energy from the elements comes out at -0.427 eV/atom.

Unit cell a=3.727 b=3.727 c=14.809 alpha=90.00 beta=90.00 gamma=90.00
Space group P4/mmm (No. 123)
Asymmetric unit:
Hf: 0.000 0.000 0.000 (multiplicity 1)
Hf: 0.000 0.000 0.252 (multiplicity 2)
Ta: 0.000 0.000 0.500 (multiplicity 1)
Ni: 0.000 0.500 0.126 (multiplicity 4)
Ni: 0.000 0.500 0.379 (multiplicity 4)
Ni: 0.500 0.500 0.000 (multiplicity 1)
Ni: 0.500 0.500 0.253 (multiplicity 2)
Ni: 0.500 0.500 0.500 (multiplicity 1)


(3)
This record from Alexandria via LeMat-Bulk describes a relaxed structure of Hf2TaNi. The functional is GGA-PBE.

Calculated values
The formation energy from the elements comes out at 0.285 eV/atom. The energy above the most stable polymorph in this dataset is 467.8 meV per atom.

Unit cell a=7.361 b=7.361 c=5.650 alpha=90.00 beta=90.00 gamma=90.00
Space group I-42d (No. 122)
Asymmetric unit:
Hf: 0.206 0.750 0.125 (multiplicity 8)
Ta: 0.000 0.000 0.500 (multiplicity 4)
Ni: 0.000 0.000 0.000 (multiplicity 4)